#i
Sr2LiAg: optimized geometry, GGA-PBEsol.

Calculated values
For the density of states at the Fermi level, the calculation gives 3.91 states/eV per cell. As for the space-group type: Fm-3m.

```
data_Sr2LiAg
_chemical_formula_sum 'Sr2 Li1 Ag1'
_space_group_name_H-M_alt 'P 1'
_space_group_IT_number 1
_space_group_name_Hall 'P 1'
_cell_length_a 5.594
_cell_length_b 5.594
_cell_length_c 5.594
_cell_angle_alpha 60.00
_cell_angle_beta 60.00
_cell_angle_gamma 60.00
loop_
_atom_site_label
_atom_site_fract_x
_atom_site_fract_y
_atom_site_fract_z
Sr1 0.250 0.250 0.250
Sr2 0.750 0.750 0.750
Ag1 0.500 0.500 0.500
Li1 0.000 0.000 0.000
```

#ii
Sr2LiAg: optimized geometry, GGA-PBEsol.

Calculated values
For the density of states at the Fermi level, the calculation gives 3.36 states/eV per cell. As for the space-group type: P4/mmm.

```
data_Sr2LiAg
_chemical_formula_sum 'Sr2 Li1 Ag1'
_space_group_name_H-M_alt 'P 1'
_space_group_IT_number 1
_space_group_name_Hall 'P 1'
_cell_length_a 3.950
_cell_length_b 3.950
_cell_length_c 8.163
_cell_angle_alpha 90.00
_cell_angle_beta 90.00
_cell_angle_gamma 90.00
loop_
_atom_site_label
_atom_site_fract_x
_atom_site_fract_y
_atom_site_fract_z
Sr1 0.000 0.000 0.225
Sr2 0.000 0.000 0.775
Ag1 0.500 0.500 0.000
Li1 0.500 0.500 0.500
```

Most stable to least stable, the ends of the list are #ii and #i.

#i
SrLi2Ag2: optimized geometry, GGA-PBEsol.

Calculated values
For the density of states at the Fermi level, the calculation gives 4.19 states/eV per cell. As for the space-group type: P4/mbm.

```
data_SrLi2Ag2
_chemical_formula_sum 'Sr2 Li4 Ag4'
_space_group_name_H-M_alt 'P 1'
_space_group_IT_number 1
_space_group_name_Hall 'P 1'
_cell_length_a 3.289
_cell_length_b 7.840
_cell_length_c 7.840
_cell_angle_alpha 90.00
_cell_angle_beta 90.00
_cell_angle_gamma 90.00
loop_
_atom_site_label
_atom_site_fract_x
_atom_site_fract_y
_atom_site_fract_z
Ag1 0.500 0.331 0.169
Ag2 0.500 0.169 0.669
Ag3 0.500 0.831 0.331
Ag4 0.500 0.669 0.831
Sr1 0.000 0.500 0.500
Sr2 0.000 0.000 0.000
Li1 0.000 0.119 0.381
Li2 0.000 0.619 0.119
Li3 0.000 0.881 0.619
Li4 0.000 0.381 0.881
```

#ii
SrLi2Ag2: optimized geometry, GGA-PBEsol.

Calculated values
For the density of states at the Fermi level, the calculation gives 2.48 states/eV per cell. As for the space-group type: I4/mmm.

```
data_SrLi2Ag2
_chemical_formula_sum 'Sr1 Li2 Ag2'
_space_group_name_H-M_alt 'P 1'
_space_group_IT_number 1
_space_group_name_Hall 'P 1'
_cell_length_a 4.286
_cell_length_b 4.286
_cell_length_c 6.864
_cell_angle_alpha 108.19
_cell_angle_beta 108.19
_cell_angle_gamma 90.00
loop_
_atom_site_label
_atom_site_fract_x
_atom_site_fract_y
_atom_site_fract_z
Li1 0.250 0.750 0.500
Li2 0.750 0.250 0.500
Sr1 0.000 0.000 0.000
Ag1 0.611 0.611 0.222
Ag2 0.389 0.389 0.778
```

Most stable to least stable, the ends of the list are #ii and #i.

#i
LiTaAg: optimized geometry, GGA-PBEsol.

Calculated values
For the density of states at the Fermi level, the calculation gives 1.64 states/eV per cell. As for the space-group type: Fmm2.

```
data_LiTaAg
_chemical_formula_sum 'Li1 Ta1 Ag1'
_space_group_name_H-M_alt 'P 1'
_space_group_IT_number 1
_space_group_name_Hall 'P 1'
_cell_length_a 2.710
_cell_length_b 2.710
_cell_length_c 7.444
_cell_angle_alpha 96.78
_cell_angle_beta 96.78
_cell_angle_gamma 110.58
loop_
_atom_site_label
_atom_site_fract_x
_atom_site_fract_y
_atom_site_fract_z
Li1 0.661 0.661 0.322
Ta1 0.336 0.336 0.672
Ag1 0.003 0.003 0.007
```

#ii
LiTaAg: optimized geometry, GGA-PBEsol.

Calculated values
For the density of states at the Fermi level, the calculation gives 5.01 states/eV per cell. As for the space-group type: F-43m.

```
data_LiTaAg
_chemical_formula_sum 'Li1 Ta1 Ag1'
_space_group_name_H-M_alt 'P 1'
_space_group_IT_number 1
_space_group_name_Hall 'P 1'
_cell_length_a 4.289
_cell_length_b 4.289
_cell_length_c 4.289
_cell_angle_alpha 60.00
_cell_angle_beta 60.00
_cell_angle_gamma 60.00
loop_
_atom_site_label
_atom_site_fract_x
_atom_site_fract_y
_atom_site_fract_z
Li1 0.000 0.000 0.000
Ag1 0.250 0.250 0.250
Ta1 0.500 0.500 0.500
```

#iii
LiTaAg: optimized geometry, GGA-PBEsol.

Calculated values
For the density of states at the Fermi level, the calculation gives 1.05 states/eV per cell. As for the space-group type: P3m1.

```
data_LiTaAg
_chemical_formula_sum 'Li1 Ta1 Ag1'
_space_group_name_H-M_alt 'P 1'
_space_group_IT_number 1
_space_group_name_Hall 'P 1'
_cell_length_a 2.656
_cell_length_b 4.516
_cell_length_c 4.516
_cell_angle_alpha 120.00
_cell_angle_beta 90.00
_cell_angle_gamma 90.00
loop_
_atom_site_label
_atom_site_fract_x
_atom_site_fract_y
_atom_site_fract_z
Ta1 0.333 0.667 0.333
Ag1 0.834 0.000 0.000
Li1 0.832 0.333 0.667
```

Most stable to least stable, the ends of the list are #i and #ii.

#i
LiTlAg: optimized geometry, GGA-PBEsol.

Calculated values
For the density of states at the Fermi level, the calculation gives 1.32 states/eV per cell. As for the space-group type: P3m1.

```
data_LiTlAg
_chemical_formula_sum 'Li1 Tl1 Ag1'
_space_group_name_H-M_alt 'P 1'
_space_group_IT_number 1
_space_group_name_Hall 'P 1'
_cell_length_a 3.005
_cell_length_b 4.682
_cell_length_c 4.682
_cell_angle_alpha 120.00
_cell_angle_beta 90.00
_cell_angle_gamma 90.00
loop_
_atom_site_label
_atom_site_fract_x
_atom_site_fract_y
_atom_site_fract_z
Tl1 0.324 0.667 0.333
Li1 0.675 0.333 0.667
Ag1 0.001 0.000 0.000
```

#ii
LiTlAg: optimized geometry, GGA-PBEsol.

Calculated values
For the density of states at the Fermi level, the calculation gives 0.87 states/eV per cell. As for the space-group type: I4mm.

```
data_LiTlAg
_chemical_formula_sum 'Li1 Tl1 Ag1'
_space_group_name_H-M_alt 'P 1'
_space_group_IT_number 1
_space_group_name_Hall 'P 1'
_cell_length_a 3.489
_cell_length_b 3.494
_cell_length_c 5.162
_cell_angle_alpha 109.78
_cell_angle_beta 109.75
_cell_angle_gamma 90.00
loop_
_atom_site_label
_atom_site_fract_x
_atom_site_fract_y
_atom_site_fract_z
Tl1 0.331 0.331 0.662
Li1 0.658 0.658 0.315
Ag1 0.011 0.011 0.022
```

Most stable to least stable, the ends of the list are #ii and #i.

#i
Li2AgW: optimized geometry, GGA-PBEsol.

Calculated values
For the density of states at the Fermi level, the calculation gives 3.32 states/eV per cell. As for the space-group type: Fm-3m.

```
data_Li2AgW
_chemical_formula_sum 'Li2 Ag1 W1'
_space_group_name_H-M_alt 'P 1'
_space_group_IT_number 1
_space_group_name_Hall 'P 1'
_cell_length_a 4.263
_cell_length_b 4.263
_cell_length_c 4.263
_cell_angle_alpha 60.00
_cell_angle_beta 60.00
_cell_angle_gamma 60.00
loop_
_atom_site_label
_atom_site_fract_x
_atom_site_fract_y
_atom_site_fract_z
Li1 0.750 0.750 0.750
Li2 0.250 0.250 0.250
Ag1 0.000 0.000 0.000
W1 0.500 0.500 0.500
```

#ii
Li2AgW: optimized geometry, GGA-PBEsol.

Calculated values
For the density of states at the Fermi level, the calculation gives 2.64 states/eV per cell. As for the space-group type: I4/mmm.

```
data_Li2AgW
_chemical_formula_sum 'Li2 Ag1 W1'
_space_group_name_H-M_alt 'P 1'
_space_group_IT_number 1
_space_group_name_Hall 'P 1'
_cell_length_a 3.873
_cell_length_b 3.873
_cell_length_c 4.974
_cell_angle_alpha 112.91
_cell_angle_beta 112.91
_cell_angle_gamma 90.00
loop_
_atom_site_label
_atom_site_fract_x
_atom_site_fract_y
_atom_site_fract_z
Ag1 0.000 0.000 0.000
Li1 0.750 0.250 0.500
Li2 0.250 0.750 0.500
W1 0.500 0.500 0.000
```

#iii
Li2AgW: optimized geometry, GGA-PBEsol.

Calculated values
For the density of states at the Fermi level, the calculation gives 1.98 states/eV per cell. As for the space-group type: P4mm.

```
data_Li2AgW
_chemical_formula_sum 'Li2 Ag1 W1'
_space_group_name_H-M_alt 'P 1'
_space_group_IT_number 1
_space_group_name_Hall 'P 1'
_cell_length_a 2.686
_cell_length_b 2.686
_cell_length_c 8.582
_cell_angle_alpha 90.00
_cell_angle_beta 90.00
_cell_angle_gamma 90.00
loop_
_atom_site_label
_atom_site_fract_x
_atom_site_fract_y
_atom_site_fract_z
Li1 0.500 0.500 0.258
Li2 0.000 0.000 0.986
W1 0.000 0.000 0.499
Ag1 0.500 0.500 0.758
```

Most stable to least stable, the ends of the list are #iii and #i.

#i
LiY2Ag2: optimized geometry, GGA-PBEsol.

Calculated values
For the density of states at the Fermi level, the calculation gives 10.18 states/eV per cell. As for the space-group type: P4/mbm.

```
data_LiY2Ag2
_chemical_formula_sum 'Li2 Y4 Ag4'
_space_group_name_H-M_alt 'P 1'
_space_group_IT_number 1
_space_group_name_Hall 'P 1'
_cell_length_a 3.784
_cell_length_b 7.870
_cell_length_c 7.870
_cell_angle_alpha 90.00
_cell_angle_beta 90.00
_cell_angle_gamma 90.00
loop_
_atom_site_label
_atom_site_fract_x
_atom_site_fract_y
_atom_site_fract_z
Li1 0.000 0.500 0.500
Li2 0.000 0.000 0.000
Y1 0.500 0.666 0.834
Y2 0.500 0.334 0.166
Y3 0.500 0.834 0.334
Y4 0.500 0.166 0.666
Ag1 0.000 0.130 0.370
Ag2 0.000 0.630 0.130
Ag3 0.000 0.870 0.630
Ag4 0.000 0.370 0.870
```

#ii
LiY2Ag2: optimized geometry, GGA-PBEsol.

Calculated values
For the density of states at the Fermi level, the calculation gives 5.51 states/eV per cell. As for the space-group type: I4/mmm.

```
data_LiY2Ag2
_chemical_formula_sum 'Li1 Y2 Ag2'
_space_group_name_H-M_alt 'P 1'
_space_group_IT_number 1
_space_group_name_Hall 'P 1'
_cell_length_a 3.817
_cell_length_b 3.817
_cell_length_c 8.713
_cell_angle_alpha 102.65
_cell_angle_beta 102.65
_cell_angle_gamma 90.00
loop_
_atom_site_label
_atom_site_fract_x
_atom_site_fract_y
_atom_site_fract_z
Y1 0.394 0.394 0.788
Y2 0.606 0.606 0.212
Li1 0.000 0.000 0.000
Ag1 0.750 0.250 0.500
Ag2 0.250 0.750 0.500
```

Most stable to least stable, the ends of the list are #i and #ii.